No. 1
# CsAc2I8

Crystalline CsAc2I8 at its relaxed geometry (GGA-PBE, Alexandria).

Cell: 10.2991 16.1783 6.4551 Å, 90.00 90.22 90.00°
Space group C2/m (No. 12)
Symmetry-distinct sites (fractional):
Cs 0.0000 0.0000 0.0000 (multiplicity 2)
Ac 0.0000 0.3039 0.5000 (multiplicity 4)
I 0.0000 0.2589 0.0000 (multiplicity 4)
I 0.0012 0.5000 0.7518 (multiplicity 4)
I 0.1903 0.1326 0.5025 (multiplicity 8)

## Properties
The calculation puts the energy at -0.12365 Ha/atom. The value obtained for the density of states at the Fermi level is 0.17 states/eV per atom. The calculation puts the raw formation energy at -1.4127 eV/atom.

***

No. 2
# AcPmAsH

Crystalline AcPmAsH at its relaxed geometry (GGA-PBE, Alexandria).

Cell: 7.2316 7.2316 7.2316 Å, 90.00 90.00 90.00°
Space group F-43m (No. 216)
Symmetry-distinct sites (fractional):
Ac 0.0000 0.0000 0.0000 (multiplicity 4)
Pm 0.0000 0.0000 0.5000 (multiplicity 4)
As 0.2500 0.2500 0.7500 (multiplicity 4)
H 0.2500 0.2500 0.2500 (multiplicity 4)

## Properties
The calculation puts the energy at -0.17654 Ha/atom. The value obtained for the density of states at the Fermi level is 0.68 states/eV per atom.

***

No. 3
# Ti8Ge2Ir

Crystalline Ti8Ge2Ir at its relaxed geometry (GGA-PBE, Alexandria).

Cell: 14.5041 4.0721 6.7454 Å, 90.00 114.53 90.00°
Space group C2/m (No. 12)
Symmetry-distinct sites (fractional):
Ti 0.0343 0.0000 0.2975 (multiplicity 4)
Ti 0.0843 0.5000 0.9465 (multiplicity 4)
Ti 0.1725 0.5000 0.4170 (multiplicity 4)
Ti 0.1773 0.0000 0.7631 (multiplicity 4)
Ge 0.1917 0.0000 0.1688 (multiplicity 4)
Ir 0.0000 0.5000 0.5000 (multiplicity 2)

## Properties
The calculation puts the energy at -0.28768 Ha/atom. The value obtained for the density of states at the Fermi level is 1.01 states/eV per atom. The calculation puts the energy relative to the elements at -441 meV per atom.

***

No. 4
# Rb2CuSb2

Crystalline Rb2CuSb2 at its relaxed geometry (GGA-PBE, Alexandria).

Cell: 12.1780 5.2294 11.6672 Å, 90.00 117.22 90.00°
Space group C2/m (No. 12)
Symmetry-distinct sites (fractional):
Rb 0.0916 0.0000 0.3876 (multiplicity 4)
Rb 0.1646 0.5000 0.1905 (multiplicity 4)
Cu 0.1560 0.5000 0.8673 (multiplicity 4)
Sb 0.1051 0.0000 0.9568 (multiplicity 4)
Sb 0.1117 0.5000 0.6206 (multiplicity 4)

## Properties
The calculation puts the energy at -0.11123 Ha/atom. The value obtained for the density of states at the Fermi level is 0.77 states/eV per atom. The calculation puts the raw formation energy at -0.1715 eV/atom.

***

No. 5
# HoCrCl5

Crystalline HoCrCl5 at its relaxed geometry (GGA-PBE, Alexandria).

Cell: 10.3192 9.2967 8.3883 Å, 90.00 109.46 90.00°
Space group C2/c (No. 15)
Symmetry-distinct sites (fractional):
Ho 0.0000 0.0572 0.2500 (multiplicity 4)
Cr 0.0000 0.5000 0.0000 (multiplicity 4)
Cl 0.0000 0.3765 0.2500 (multiplicity 4)
Cl 0.0286 0.1661 0.9604 (multiplicity 8)
Cl 0.2301 0.4302 0.6395 (multiplicity 8)

## Properties
The calculation puts the energy at -0.18270 Ha/atom. The calculation puts the raw formation energy at -1.6237 eV/atom.

***

No. 6
# SrRePt

Crystalline SrRePt at its relaxed geometry (GGA-PBE, Alexandria).

Cell: 6.7587 6.7587 6.7587 Å, 90.00 90.00 90.00°
Space group F-43m (No. 216)
Symmetry-distinct sites (fractional):
Sr 0.0000 0.0000 0.0000 (multiplicity 4)
Re 0.2500 0.2500 0.7500 (multiplicity 4)
Pt 0.2500 0.2500 0.2500 (multiplicity 4)

## Properties
The calculation puts the energy at -0.18287 Ha/atom. The value obtained for the density of states at the Fermi level is 0.96 states/eV per atom. The calculation puts the energy above the most stable polymorph in this dataset at 1507 meV per atom. The calculation puts the energy relative to the elements at 1747 meV per atom.

***

No. 7
# La5Y2

Crystalline La5Y2 at its relaxed geometry (GGA-PBE, Alexandria).

Cell: 16.6409 3.6256 11.6222 Å, 90.00 132.97 90.00°
Space group C2/m (No. 12)
Symmetry-distinct sites (fractional):
La 0.0000 0.0000 0.0000 (multiplicity 2)
La 0.1338 0.5000 0.9026 (multiplicity 4)
La 0.1620 0.0000 0.6611 (multiplicity 4)
Y 0.1352 0.5000 0.3663 (multiplicity 4)

## Properties
The calculation puts the energy at -0.19092 Ha/atom. The value obtained for the density of states at the Fermi level is 1.72 states/eV per atom. The calculation puts the energy relative to the elements at 171 meV per atom.

***

No. 8
# Ac2Hg2Au

Crystalline Ac2Hg2Au at its relaxed geometry (GGA-PBE, Alexandria).

Cell: 11.8988 4.6809 12.2137 Å, 90.00 114.52 90.00°
Space group C2/m (No. 12)
Symmetry-distinct sites (fractional):
Ac 0.0417 0.0000 0.3524 (multiplicity 4)
Ac 0.1863 0.0000 0.1144 (multiplicity 4)
Hg 0.0367 0.5000 0.8862 (multiplicity 4)
Hg 0.1375 0.5000 0.5766 (multiplicity 4)
Au 0.2196 0.5000 0.3154 (multiplicity 4)

## Properties
The calculation puts the energy at -0.10965 Ha/atom. The value obtained for the density of states at the Fermi level is 0.73 states/eV per atom. The calculation puts the energy above the most stable polymorph in this dataset at 0 meV per atom. The calculation puts the energy relative to the elements at -564 meV per atom.

***

No. 9
# MgAlCdPb

Crystalline MgAlCdPb at its relaxed geometry (GGA-PBE, Alexandria).

Cell: 7.2447 7.2447 7.2447 Å, 90.00 90.00 90.00°
Space group F-43m (No. 216)
Symmetry-distinct sites (fractional):
Mg 0.0000 0.0000 0.0000 (multiplicity 4)
Al 0.0000 0.0000 0.5000 (multiplicity 4)
Cd 0.2500 0.2500 0.2500 (multiplicity 4)
Pb 0.2500 0.2500 0.7500 (multiplicity 4)

## Properties
The calculation puts the energy at -0.08588 Ha/atom. The value obtained for the density of states at the Fermi level is 0.79 states/eV per atom. The calculation puts the energy relative to the elements at 153 meV per atom.

***

No. 10
# NpZn5Rh6

Crystalline NpZn5Rh6 at its relaxed geometry (GGA-PBE, Alexandria).

Cell: 4.3855 13.0134 6.1973 Å, 90.00 90.00 90.00°
Space group Cmmm (No. 65)
Symmetry-distinct sites (fractional):
Np 0.0000 0.0000 0.0000 (multiplicity 2)
Zn 0.0000 0.0000 0.5000 (multiplicity 2)
Zn 0.0000 0.3281 0.0000 (multiplicity 4)
Zn 0.0000 0.3327 0.5000 (multiplicity 4)
Rh 0.0000 0.1662 0.2523 (multiplicity 8)
Rh 0.0000 0.5000 0.2572 (multiplicity 4)

## Properties
The calculation puts the energy at -0.21072 Ha/atom. The value obtained for the density of states at the Fermi level is 0.80 states/eV per atom. The calculation puts the energy relative to the elements at -449 meV per atom.

***

No. 11
# In2FeIr

Crystalline In2FeIr at its relaxed geometry (GGA-PBE, Alexandria).

Cell: 3.0653 3.0653 27.0811 Å, 90.00 90.00 120.00°
Space group R3m (No. 160, hexagonal axes)
Symmetry-distinct sites (fractional):
In 0.0000 0.0000 0.0000 (multiplicity 3)
In 0.0000 0.0000 0.2331 (multiplicity 3)
Fe 0.0000 0.0000 0.7488 (multiplicity 3)
Ir 0.0000 0.0000 0.4834 (multiplicity 3)

## Properties
The calculation puts the energy at -0.19973 Ha/atom. The value obtained for the density of states at the Fermi level is 0.71 states/eV per atom. The calculation puts the energy relative to the elements at 265 meV per atom.

***

No. 12
# NdDy4Ge4

Crystalline NdDy4Ge4 at its relaxed geometry (GGA-PBE, Alexandria).

Cell: 9.3007 9.3007 5.8073 Å, 90.00 90.00 90.00°
Space group P4_2/n (No. 86, origin choice 2)
Symmetry-distinct sites (fractional):
Nd 0.2500 0.2500 0.2500 (multiplicity 2)
Dy 0.0891 0.6482 0.1387 (multiplicity 8)
Ge 0.0373 0.6095 0.6425 (multiplicity 8)

## Properties
The calculation puts the energy at -0.19133 Ha/atom. The value obtained for the density of states at the Fermi level is 0.94 states/eV per atom. The calculation puts the energy relative to the elements at -579 meV per atom.

***

No. 13
# CaTb2Nd7

Crystalline CaTb2Nd7 at its relaxed geometry (GGA-PBE, Alexandria).

Cell: 9.0933 16.0503 5.8291 Å, 90.00 90.00 90.00°
Space group Cmmm (No. 65)
Symmetry-distinct sites (fractional):
Ca 0.0000 0.0000 0.0000 (multiplicity 2)
Tb 0.0000 0.2957 0.5000 (multiplicity 4)
Nd 0.0000 0.2426 0.0000 (multiplicity 4)
Nd 0.0000 0.5000 0.5000 (multiplicity 2)
Nd 0.1821 0.1187 0.5000 (multiplicity 8)

## Properties
The calculation puts the energy at -0.14214 Ha/atom. The value obtained for the density of states at the Fermi level is 1.38 states/eV per atom. The calculation puts the energy relative to the elements at 596 meV per atom.

***

No. 14
# NaN2O2

Crystalline NaN2O2 at its relaxed geometry (GGA-PBE, Alexandria).

Cell: 4.2978 4.2978 4.5774 Å, 90.00 90.00 90.00°
Space group P4/mmm (No. 123)
Symmetry-distinct sites (fractional):
Na 0.0000 0.0000 0.0000 (multiplicity 1)
N 0.0000 0.0000 0.5000 (multiplicity 1)
N 0.5000 0.5000 0.5000 (multiplicity 1)
O 0.0000 0.5000 0.0000 (multiplicity 2)

## Properties
The calculation puts the energy at -0.11179 Ha/atom. The value obtained for the density of states at the Fermi level is 0.89 states/eV per atom. The calculation puts the energy above the most stable polymorph in this dataset at 1396 meV per atom. The calculation puts the raw formation energy at 2.5353 eV/atom.

***

No. 15
# SrEuInGe

Crystalline SrEuInGe at its relaxed geometry (GGA-PBE, Alexandria).

Cell: 7.8161 7.8161 7.8161 Å, 90.00 90.00 90.00°
Space group F-43m (No. 216)
Symmetry-distinct sites (fractional):
Sr 0.0000 0.0000 0.0000 (multiplicity 4)
Eu 0.0000 0.0000 0.5000 (multiplicity 4)
In 0.2500 0.2500 0.7500 (multiplicity 4)
Ge 0.2500 0.2500 0.2500 (multiplicity 4)

## Properties
The calculation puts the energy at -0.19319 Ha/atom. The value obtained for the density of states at the Fermi level is 0.73 states/eV per atom. The calculation puts the energy relative to the elements at -429 meV per atom.

***

No. 16
# BaDyAu2

Crystalline BaDyAu2 at its relaxed geometry (GGA-PBE, Alexandria).

Cell: 4.3307 4.3307 23.2167 Å, 90.00 90.00 120.00°
Space group R3m (No. 160, hexagonal axes)
Symmetry-distinct sites (fractional):
Ba 0.0000 0.0000 0.0000 (multiplicity 3)
Dy 0.0000 0.0000 0.1707 (multiplicity 3)
Au 0.0000 0.0000 0.5701 (multiplicity 3)
Au 0.0000 0.0000 0.7672 (multiplicity 3)

## Properties
The calculation puts the energy at -0.14390 Ha/atom. The value obtained for the density of states at the Fermi level is 0.66 states/eV per atom. The calculation puts the energy above the most stable polymorph in this dataset at 107 meV per atom. The calculation puts the energy relative to the elements at -646 meV per atom.

***

No. 17
# WAu

Crystalline WAu at its relaxed geometry (GGA-PBE, Alexandria).

Cell: 2.7667 2.7667 4.3591 Å, 90.00 90.00 90.00°
Space group P4/mmm (No. 123)
Symmetry-distinct sites (fractional):
W 0.0000 0.0000 0.0000 (multiplicity 1)
Au 0.5000 0.5000 0.5000 (multiplicity 1)

## Properties
The calculation puts the energy at -0.28118 Ha/atom. The value obtained for the density of states at the Fermi level is 0.67 states/eV per atom. The calculation puts the energy above the most stable polymorph in this dataset at 214 meV per atom. The calculation puts the energy relative to the elements at 464 meV per atom.

***

No. 18
# NaPa3Cr4N12

Crystalline NaPa3Cr4N12 at its relaxed geometry (GGA-PBE, Alexandria).

Cell: 11.3357 11.3357 8.5992 Å, 90.00 90.00 120.00°
Space group R32 (No. 155, hexagonal axes)
Symmetry-distinct sites (fractional):
Na 0.0000 0.0000 0.0000 (multiplicity 3)
Pa 0.0000 0.5474 0.0000 (multiplicity 9)
Cr 0.0000 0.0000 0.5000 (multiplicity 3)
Cr 0.0000 0.4516 0.5000 (multiplicity 9)
N 0.0000 0.6077 0.5000 (multiplicity 9)
N 0.0000 0.8483 0.5000 (multiplicity 9)
N 0.0320 0.2172 0.1836 (multiplicity 18)

## Properties
The calculation puts the energy at -0.32741 Ha/atom. The value obtained for the density of states at the Fermi level is 0.27 states/eV per atom. The calculation puts the raw formation energy at -0.4990 eV/atom.

***

No. 19
# TaCrCl2

Crystalline TaCrCl2 at its relaxed geometry (GGA-PBE, Alexandria).

Cell: 10.6980 3.1113 5.8180 Å, 90.00 95.97 90.00°
Space group Cm (No. 8)
Symmetry-distinct sites (fractional):
Ta 0.0000 0.0000 0.0000 (multiplicity 2)
Cr 0.1790 0.5000 0.0446 (multiplicity 2)
Cl 0.1501 0.0000 0.7088 (multiplicity 2)
Cl 0.3742 0.0000 0.2460 (multiplicity 2)

## Properties
The calculation puts the energy at -0.22589 Ha/atom. The value obtained for the density of states at the Fermi level is 0.78 states/eV per atom. The calculation puts the energy above the most stable polymorph in this dataset at 542 meV per atom. The calculation puts the raw formation energy at 0.1456 eV/atom.

***

No. 20
# LiYZnIr

Crystalline LiYZnIr at its relaxed geometry (GGA-PBE, Alexandria).

Cell: 6.5653 6.5653 6.5653 Å, 90.00 90.00 90.00°
Space group F-43m (No. 216)
Symmetry-distinct sites (fractional):
Li 0.0000 0.0000 0.0000 (multiplicity 4)
Y 0.2500 0.2500 0.2500 (multiplicity 4)
Zn 0.2500 0.2500 0.7500 (multiplicity 4)
Ir 0.0000 0.0000 0.5000 (multiplicity 4)

## Properties
The calculation puts the energy at -0.18537 Ha/atom. The value obtained for the density of states at the Fermi level is 0.46 states/eV per atom. The calculation puts the energy relative to the elements at -416 meV per atom.